Crystalline Ba2PCl at its relaxed geometry. Source: Alexandria via LeMat-Bulk, functional GGA-PBEsol.

The crystal system is trigonal. The calculation puts the raw total energy at -4.667 eV per atom. For the magnetic moment, the calculation gives 0.0 Bohr magnetons per cell. The calculation puts the formation energy from raw total energies at -1.642 eV per atom.

The structure belongs to space group R-3m (No. 166, hexagonal axes); the cell edges are 4.6002, 4.6002 and 22.5248 Å and the angles 90.00°, 90.00° and 120.00°. Symmetry generates all atoms from Ba at (0.0000, 0.0000, 0.2420), P at (0.0000, 0.0000, 0.5000) and Cl at (0.0000, 0.0000, 0.0000).


Crystalline TaZnRu3 at its relaxed geometry. Source: Alexandria via LeMat-Bulk, functional GGA-PBEsol.

The crystal system is cubic. The formation energy is 1296 meV per atom. The calculation puts the raw total energy at -7.634 eV per atom. For the magnetic moment, the calculation gives 0.0 Bohr magnetons per cell.

The structure belongs to space group Pm-3m (No. 221); the cell edges are 4.337, 4.337 and 4.337 Å and the angles 90.00°, 90.00° and 90.00°. Symmetry generates all atoms from Ta at (0.000, 0.000, 0.000), Zn at (0.500, 0.500, 0.500) and Ru at (0.000, 0.500, 0.500).


Crystalline SrSbMo at its relaxed geometry. Source: Alexandria via LeMat-Bulk, functional GGA-PBEsol.

The crystal system is trigonal. The calculation puts the raw total energy at -5.623 eV per atom. For the magnetic moment, the calculation gives 0.8 Bohr magnetons per cell. The calculation puts the formation energy from raw total energies at 0.432 eV per atom.

The structure belongs to space group P3m1 (No. 156); the cell edges are 3.6257, 3.6257 and 6.7247 Å and the angles 90.00°, 90.00° and 120.00°. Symmetry generates all atoms from Sr at (0.0000, 0.0000, 0.0000), Sb at (0.3333, 0.6667, 0.3876) and Mo at (0.6667, 0.3333, 0.6329).


Crystalline AlCrGePb2 at its relaxed geometry. Source: Alexandria via LeMat-Bulk, functional GGA-PBEsol.

The crystal system is tetragonal. The formation energy is 981 meV per atom. The calculation puts the raw total energy at -4.473 eV per atom. For the magnetic moment, the calculation gives 4.7 Bohr magnetons per cell.

The structure belongs to space group P4/mmm (No. 123); the cell edges are 5.442, 5.442 and 4.772 Å and the angles 90.00°, 90.00° and 90.00°. Symmetry generates all atoms from Al at (0.000, 0.000, 0.000), Cr at (0.500, 0.500, 0.000), Ge at (0.000, 0.000, 0.500) and Pb at (0.000, 0.500, 0.500).


Crystalline LiYZr at its relaxed geometry. Source: Alexandria via LeMat-Bulk, functional GGA-PBEsol.

The crystal system is trigonal. The formation energy is 321 meV per atom. The calculation puts the raw total energy at -5.639 eV per atom. For the magnetic moment, the calculation gives 0.0 Bohr magnetons per cell.

The structure belongs to space group P3m1 (No. 156); the cell edges are 5.0914, 5.0914 and 3.0872 Å and the angles 90.00°, 90.00° and 120.00°. Symmetry generates all atoms from Li at (0.0000, 0.0000, 0.0000), Y at (0.3333, 0.6667, 0.3081) and Zr at (0.6667, 0.3333, 0.7743).


Crystalline CuRh3Br at its relaxed geometry. Source: Alexandria via LeMat-Bulk, functional GGA-PBEsol.

The crystal system is cubic. The calculation puts the raw total energy at -4.659 eV per atom. For the magnetic moment, the calculation gives 3.3 Bohr magnetons per cell. The calculation puts the formation energy from raw total energies at 1.465 eV per atom.

The structure belongs to space group Pm-3m (No. 221); the cell edges are 4.501, 4.501 and 4.501 Å and the angles 90.00°, 90.00° and 90.00°. Symmetry generates all atoms from Cu at (0.000, 0.000, 0.000), Rh at (0.000, 0.000, 0.500) and Br at (0.500, 0.500, 0.500).